# NaTm3Cd4 (PBE-GGA, relaxed)
# Final energy in eV per atom: -2.5399
# Energy of formation from the pure elements in eV per formula unit: -1.92
data_NaTm3Cd4
_cell_length_a 3.670
_cell_length_b 3.670
_cell_length_c 15.149
_cell_angle_alpha 90.00
_cell_angle_beta 90.00
_cell_angle_gamma 90.00
_space_group_name_H-M_alt 'P 4/m m m'
_space_group_IT_number 123
_space_group_name_Hall '-P 4 2'
loop_
_atom_site_label
_atom_site_type_symbol
_atom_site_fract_x
_atom_site_fract_y
_atom_site_fract_z
Na1 Na 0.000 0.000 0.000
Tm1 Tm 0.000 0.000 0.254
Tm2 Tm 0.000 0.000 0.500
Cd1 Cd 0.500 0.500 0.133
Cd2 Cd 0.500 0.500 0.377

---

# NaTmCd5 (PBE-GGA, relaxed)
# Final energy in eV per atom: -1.5401
# Energy of formation from the pure elements in eV per formula unit: -0.41
data_NaTmCd5
_cell_length_a 6.320
_cell_length_b 8.882
_cell_length_c 6.461
_cell_angle_alpha 90.00
_cell_angle_beta 90.00
_cell_angle_gamma 90.00
_space_group_name_H-M_alt 'C m m m'
_space_group_IT_number 65
_space_group_name_Hall '-C 2 2'
loop_
_atom_site_label
_atom_site_type_symbol
_atom_site_fract_x
_atom_site_fract_y
_atom_site_fract_z
Na1 Na 0.000 0.000 0.000
Tm1 Tm 0.000 0.500 0.500
Cd1 Cd 0.000 0.500 0.000
Cd2 Cd 0.250 0.250 0.258